P.
Computed, not measured: a crystal of CsRb2Na relaxed with PBEsol at the SCAN level of DFT.

```
data_CsRb2Na
_symmetry_space_group_name_H-M 'I -4 2 d'
_symmetry_Int_Tables_number 122
_symmetry_space_group_name_Hall 'I -4 2bw'
_cell_length_a 6.301
_cell_length_b 6.301
_cell_length_c 32.021
_cell_angle_alpha 90.00
_cell_angle_beta 90.00
_cell_angle_gamma 90.00
loop_
_atom_site_label
_atom_site_type_symbol
_atom_site_fract_x
_atom_site_fract_y
_atom_site_fract_z
_atom_site_occupancy
Cs1 Cs 0.000 0.000 0.000 1
Rb1 Rb 0.231 0.250 0.625 1
Na1 Na 0.000 0.000 0.500 1
```

magnetization	0.021	μB per atom


Q.
Computed, not measured: a crystal of CsRb2Na relaxed with PBEsol at the SCAN level of DFT.

```
data_CsRb2Na
_symmetry_space_group_name_H-M 'F m -3 m'
_symmetry_Int_Tables_number 225
_symmetry_space_group_name_Hall '-F 4 2 3'
_cell_length_a 10.561
_cell_length_b 10.561
_cell_length_c 10.561
_cell_angle_alpha 90.00
_cell_angle_beta 90.00
_cell_angle_gamma 90.00
loop_
_atom_site_label
_atom_site_type_symbol
_atom_site_fract_x
_atom_site_fract_y
_atom_site_fract_z
_atom_site_occupancy
Cs1 Cs 0.000 0.000 0.000 1
Rb1 Rb 0.250 0.250 0.250 1
Na1 Na 0.000 0.000 0.500 1
```

magnetization	0.007	μB per atom


Q (55 meV/atom below the next structure)